! HgTeIrN2, optimized geometry, DFT PBE; values from VASP
! - total magnetic moment (μB/atom) = 0.641
! - space group = No. 123
! - V (A^3/atom) = 21.3
! - formation energy (no corrections) (meV per atom) = 2321
! - polymorph energy (0 for the lowest one) (eV/atom) = 1.467
! - ρ (kg/m³) = 8558
! - DOS at the Fermi energy (states/eV/f.u.) = 3.05
! - final energy (eV/atom) = -3.47
&SYSTEM
  ibrav = 0, nat = 5, ntyp = 4
/
ATOMIC_SPECIES
Hg 200.59 Hg.upf
Te 127.60 Te.upf
Ir 192.22 Ir.upf
N 14.01 N.upf
CELL_PARAMETERS angstrom
3.939 0.000 0.000
0.000 3.939 0.000
0.000 0.000 6.858
ATOMIC_POSITIONS angstrom
Hg 0.000 0.000 0.000
Te 0.000 0.000 3.429
Ir 1.970 1.970 3.429
N 0.000 1.970 0.000
N 1.970 0.000 0.000